# 1
Below is CaBiSeBr2 after structural relaxation, with properties calculated at the GGA-PBE level.

Energy relative to the lowest polymorph listed for this composition, meV per atom: 115
SG: No. 123
E_form (uncorrected), meV/atom: -537

Unit cell a=5.693 b=5.693 c=5.750 alpha=90.00 beta=90.00 gamma=90.00
Atoms (fractional coordinates):
Se (0.000, 0.000, 0.500)
Br (0.500, 0.000, 0.000)
Br (0.000, 0.500, 0.000)
Bi (0.000, 0.000, 0.000)
Ca (0.500, 0.500, 0.500)



# 2
Below is Rb4InHg2 after structural relaxation, with properties calculated at the GGA-PBE level.

SG: No. 139
DFT total energy, eV per formula unit: -7.2

Unit cell a=7.112 b=7.112 c=10.169 alpha=110.47 beta=110.47 gamma=90.00
Atoms (fractional coordinates):
In (0.000, 0.000, 0.000)
Hg (0.413, 0.413, 0.827)
Hg (0.587, 0.587, 0.173)
Rb (0.791, 0.791, 0.582)
Rb (0.500, 0.000, 0.000)
Rb (0.000, 0.500, 0.000)
Rb (0.209, 0.209, 0.418)



# 3
Below is CoBiSe2N after structural relaxation, with properties calculated at the GGA-PBE level.

Energy relative to the lowest polymorph listed for this composition, meV per atom: 0
SG: No. 123
E_form (uncorrected), meV/atom: 222

Unit cell a=5.092 b=5.092 c=3.504 alpha=90.00 beta=90.00 gamma=90.00
Atoms (fractional coordinates):
Se (0.500, 0.000, 0.000)
Se (0.000, 0.500, 0.000)
N (0.000, 0.000, 0.500)
Co (0.000, 0.000, 0.000)
Bi (0.500, 0.500, 0.500)



# 4
Below is Zr2Sc8Pa after structural relaxation, with properties calculated at the GGA-PBE level.

SG: No. 10
DFT total energy, eV per formula unit: -75.5

Unit cell a=7.904 b=4.937 c=9.624 alpha=89.99 beta=105.81 gamma=128.64
Atoms (fractional coordinates):
Sc (0.283, 0.283, 0.344)
Sc (0.604, 0.104, 0.880)
Sc (0.396, 0.896, 0.120)
Sc (0.730, 0.230, 0.448)
Sc (0.730, 0.730, 0.234)
Sc (0.270, 0.270, 0.766)
Sc (0.270, 0.770, 0.552)
Sc (0.717, 0.717, 0.656)
Zr (0.024, 0.524, 0.798)
Zr (0.976, 0.476, 0.202)
Pa (0.000, 0.000, 0.000)